A geometry-optimized ReWBr3 structure, computed with PBE.

Properties
uncorrected formation energy = 1.550 eV/atom
ρ = 6.86 g/cm3
energy above the most stable polymorph in this dataset = 0.0000 eV/atom
magnetic moment = 9.057 μB/f.u.
space-group type = Pm-3m (221)

The structure in POSCAR format:
```
ReWBr3
1.0
5.2836 0.0000 0.0000
0.0000 5.2836 0.0000
0.0000 0.0000 5.2836
Br W Re
3 1 1
Direct
0.0000 0.5000 0.0000
0.0000 0.0000 0.5000
0.5000 0.0000 0.0000
0.0000 0.0000 0.0000
0.5000 0.5000 0.5000
```

***

A geometry-optimized ScBeNi4Ge2 structure, computed with PBE.

Properties
calculated formation energy = -0.453 eV per atom
ρ = 7.05 g/cm3
magnetic moment = 0.000 μB/f.u.
space-group type = R-3m (166)

The structure in POSCAR format:
```
ScBeNi4Ge2
1.0
3.9816 0.0000 0.0000
1.9908 3.4482 0.0000
1.9908 1.1494 7.4504
Sc Ni Ge Be
1 4 2 1
Direct
0.0000 0.0000 0.0000
0.1351 0.1351 0.5948
0.8649 0.8649 0.4052
0.4043 0.4043 0.7870
0.5957 0.5957 0.2130
0.2475 0.2475 0.2575
0.7525 0.7525 0.7425
0.5000 0.5000 0.5000
```

***

A geometry-optimized PtCN2F structure, computed with PBE.

Properties
uncorrected formation energy = 2.257 eV/atom
ρ = 6.54 g/cm3
energy above the most stable polymorph in this dataset = 0.2962 eV/atom
magnetic moment = 0.977 μB/f.u.
space-group type = P4/mmm (123)

The structure in POSCAR format:
```
PtCN2F
1.0
-1.8318 2.8438 -1.7813
-2.8458 -0.2411 2.5414
2.0534 2.9375 2.5780
N Pt F C
2 1 1 1
Direct
0.0000 0.5000 0.0000
0.5000 0.0000 0.0000
0.0000 0.0000 0.0000
0.0000 0.0000 0.5000
0.5000 0.5000 0.5000
```

***

A geometry-optimized CaTbCo structure, computed with PBE.

Properties
calculated formation energy = -0.045 eV per atom
ρ = 5.38 g/cm3
energy above the most stable polymorph in this dataset = 0.0545 eV/atom
magnetic moment = 0.003 μB/f.u.
space-group type = C2/m (12)

The structure in POSCAR format:
```
CaTbCo
1.0
3.8209 0.0000 0.0000
0.0000 5.7264 0.0073
-1.9105 -1.2640 7.2735
Ca Tb Co
2 2 2
Direct
0.5858 0.7914 0.1717
0.4142 0.2086 0.8283
0.8323 0.6707 0.6646
0.1677 0.3293 0.3355
0.7591 0.1296 0.5181
0.2409 0.8704 0.4819
```

***

A geometry-optimized Cu2AsRh structure, computed with PBE.

Properties
calculated formation energy = 0.126 eV per atom
ρ = 8.60 g/cm3
magnetic moment = 0.000 μB/f.u.
space-group type = I-42d (122)

The structure in POSCAR format:
```
Cu2AsRh
1.0
6.9526 0.0000 0.0000
0.0000 6.9526 0.0000
3.4763 3.4763 2.4353
Cu Rh As
4 2 2
Direct
0.1437 0.6250 0.2500
0.3750 0.3937 0.7500
0.6063 0.1250 0.2500
0.8750 0.8563 0.7500
0.0000 0.0000 0.0000
0.7500 0.2500 0.5000
0.5000 0.5000 0.0000
0.2500 0.7500 0.5000
```

***

A geometry-optimized KLa2Mg structure, computed with PBE.

Properties
calculated formation energy = 0.314 eV per atom
ρ = 3.80 g/cm3
magnetic moment = 0.000 μB/f.u.
space-group type = Imm2 (44)

The structure in POSCAR format:
```
KLa2Mg
1.0
-1.3672 -6.8774 -1.1187
1.8273 -2.8002 -6.2641
2.1538 3.2344 5.9429
K La Mg
1 2 1
Direct
0.2703 0.7703 0.5000
0.9891 0.9891 0.0000
0.7343 0.2343 0.5000
0.5062 0.5062 0.0000
```